# 1
Density functional theory data (PBE) for SiAs2PtAu after structural relaxation.

Cell and atoms, written as POSCAR:
```
SiAs2PtAu
1.0
4.893 0.000 0.000
0.000 4.893 0.000
0.000 0.000 5.115
Si As Pt Au
1 2 1 1
Cartesian
0.000 0.000 0.000 Si
0.000 2.447 2.558 As
2.447 0.000 2.558 As
2.447 2.447 0.000 Pt
2.447 2.447 2.558 Au
```

Total magnetic moment ... 0.00 μB/atom
Space group ... P4/mmm (123)
Uncorrected energy ... -3.655 eV/atom

***

# 2
Density functional theory data (PBE) for MnNb3Ni after structural relaxation.

Cell and atoms, written as POSCAR:
```
MnNb3Ni
1.0
4.539 0.000 0.000
0.000 4.539 0.000
0.000 0.000 4.539
Mn Nb Ni
1 3 1
Cartesian
0.000 0.000 0.000 Mn
0.000 0.000 2.269 Nb
0.000 2.269 0.000 Nb
2.269 0.000 0.000 Nb
2.269 2.269 2.269 Ni
```

Total magnetic moment ... 0.00 μB/atom
Polymorph energy (0 for the lowest one) ... 0.000 eV per atom
Space group ... Pm-3m (221)
Calculated formation energy ... 0.9051 eV per atom
Uncorrected energy ... -8.127 eV/atom

***

# 3
Density functional theory data (PBE) for RuPtBr2 after structural relaxation.

Cell and atoms, written as POSCAR:
```
RuPtBr2
1.0
3.144 0.000 0.000
0.000 3.144 0.000
0.000 0.000 8.654
Ru Pt Br
1 1 2
Cartesian
0.000 0.000 0.000 Ru
1.572 1.572 7.096 Pt
0.000 0.000 5.262 Br
1.572 1.572 1.641 Br
```

Total magnetic moment ... 0.14 μB/atom
Polymorph energy (0 for the lowest one) ... 0.286 eV per atom
Space group ... P4mm (99)
Uncorrected energy ... -4.225 eV/atom

***

# 4
Density functional theory data (PBE) for TbMg2Au2 after structural relaxation.

Cell and atoms, written as POSCAR:
```
TbMg2Au2
1.0
4.089 0.000 0.000
0.000 4.089 0.000
0.000 0.000 13.033
Tb Mg Au
2 4 4
Cartesian
0.000 0.000 0.000 Tb
2.045 2.045 6.516 Tb
0.000 2.045 3.258 Mg
0.000 2.045 9.775 Mg
2.045 0.000 3.258 Mg
2.045 0.000 9.775 Mg
0.000 0.000 5.124 Au
0.000 0.000 7.909 Au
2.045 2.045 1.393 Au
2.045 2.045 11.640 Au
```

Total magnetic moment ... 0.00 μB/atom
Polymorph energy (0 for the lowest one) ... 0.000 eV per atom
Space group ... I4/mmm (139)
Calculated formation energy ... -0.6233 eV per atom
Uncorrected energy ... -3.498 eV/atom